--- w ---
Computed, not measured: crystalline TeHPdRuPt at its relaxed geometry at the PBE level of DFT.

Results
Crystal system ... monoclinic

Unit cell a=7.960 b=7.960 c=3.186 alpha=100.89 beta=100.89 gamma=22.48
Fractional coordinates of all 5 atoms:
Te: 0.000 0.000 0.000
H: 0.680 0.680 0.527
Pd: 0.172 0.172 0.190
Ru: 0.404 0.404 0.404
Pt: 0.788 0.788 0.805

=====

--- x ---
Computed, not measured: crystalline TeHPdRuPt at its relaxed geometry at the PBE level of DFT.

Results
Crystal system ... monoclinic

Unit cell a=4.537 b=2.910 c=6.290 alpha=90.00 beta=102.66 gamma=90.00
Fractional coordinates of all 5 atoms:
Te: 0.000 0.000 0.000
H: 0.052 0.000 0.546
Pd: 0.412 0.000 0.755
Ru: 0.152 0.500 0.355
Pt: 0.659 0.000 0.401

=====

--- y ---
Computed, not measured: crystalline TeHPdRuPt at its relaxed geometry at the PBE level of DFT.

Results
Crystal system ... triclinic

Unit cell a=3.543 b=4.422 c=5.453 alpha=113.20 beta=108.93 gamma=90.12
Fractional coordinates of all 5 atoms:
Te: 0.000 0.000 0.000
H: 0.729 0.482 0.461
Pd: 0.207 0.595 0.420
Ru: 0.484 0.578 0.970
Pt: 0.769 0.132 0.543

=====

--- z ---
Computed, not measured: crystalline TeHPdRuPt at its relaxed geometry at the PBE level of DFT.

Results
Crystal system ... triclinic

Unit cell a=3.862 b=4.428 c=4.818 alpha=78.45 beta=67.02 gamma=89.64
Fractional coordinates of all 5 atoms:
Te: 0.000 0.000 0.000
H: 0.606 0.468 0.430
Pd: 0.435 0.402 0.111
Ru: 0.702 0.090 0.579
Pt: 0.160 0.598 0.647

=====

w is favored, and the nearest alternative lies 1.2 kJ/mol of atoms above it.

=====

--- w ---
Computed, not measured: crystalline TeHPdRuPt at its relaxed geometry at the PBE level of DFT.

Results
Crystal system ... triclinic

Unit cell a=2.920 b=4.231 c=6.896 alpha=101.56 beta=102.21 gamma=90.80
Fractional coordinates of all 5 atoms:
Te: 0.000 0.000 0.000
H: 0.564 0.045 0.575
Pd: 0.847 0.416 0.746
Ru: 0.663 0.107 0.332
Pt: 0.220 0.646 0.442

=====

--- x ---
Computed, not measured: crystalline TeHPdRuPt at its relaxed geometry at the PBE level of DFT.

Results
Crystal system ... monoclinic

Unit cell a=4.925 b=4.925 c=4.429 alpha=98.80 beta=98.80 gamma=44.59
Fractional coordinates of all 5 atoms:
Te: 0.000 0.000 0.000
H: 0.291 0.291 0.332
Pd: 0.564 0.564 0.604
Ru: 0.288 0.288 0.918
Pt: 0.827 0.827 0.424

=====

x is favored, and the nearest alternative lies 1.9 kJ/mol of atoms above it.

=====

--- w ---
Computed, not measured: crystalline ScHPdPt2 at its relaxed geometry at the PBE level of DFT.

Results
Crystal system ... tetragonal

Unit cell a=4.057 b=4.057 c=4.076 alpha=90.00 beta=90.00 gamma=90.00
Fractional coordinates of all 5 atoms:
Sc: 0.000 0.000 0.000
H: 0.500 0.500 0.500
Pd: 0.500 0.500 0.000
Pt: 0.000 0.500 0.500
Pt: 0.500 0.000 0.500

=====

--- x ---
Computed, not measured: crystalline ScHPdPt2 at its relaxed geometry at the PBE level of DFT.

Results
Crystal system ... tetragonal

Unit cell a=3.968 b=3.968 c=4.265 alpha=90.00 beta=90.00 gamma=90.00
Fractional coordinates of all 5 atoms:
Sc: 0.000 0.000 0.000
H: 0.000 0.000 0.500
Pd: 0.500 0.500 0.000
Pt: 0.000 0.500 0.500
Pt: 0.500 0.000 0.500

=====

w is favored, and the nearest alternative lies 3.0 kJ/mol of atoms above it.